# 1
Density functional theory data (PBE) for a geometry-optimized K3IrPd structure.

SG: No. 221
Energy of formation from the pure elements (meV/atom): 956
Energy above the most stable polymorph in this dataset (kJ/mol of atoms): 0.0
Total energy (eV per cell): -12.6

abc: 6.0234 6.0234 6.0234
angles: 90.00 90.00 90.00
Last column: magnetic moment on the atom in μB.
Atoms (fractional coordinates):
K 0.0000 0.5000 0.0000  0.00
K 0.5000 0.0000 0.0000  0.00
K 0.0000 0.0000 0.5000  0.00
Pd 0.0000 0.0000 0.0000  0.01
Ir 0.5000 0.5000 0.5000  1.76



# 2
Density functional theory data (PBE) for a geometry-optimized HfScAlIr structure.

SG: No. 216
Energy of formation from the pure elements (meV/atom): -614
Total energy (eV per cell): -31.3

abc: 4.6818 4.6818 4.6818
angles: 60.00 60.00 60.00
Atoms (fractional coordinates):
Al 0.7500 0.7500 0.7500
Ir 0.2500 0.2500 0.2500
Sc 0.5000 0.5000 0.5000
Hf 0.0000 0.0000 0.0000



# 3
Density functional theory data (PBE) for a geometry-optimized Sc4CuAgAu2 structure.

SG: No. 166
Energy of formation from the pure elements (meV/atom): -545
Total energy (eV per cell): -43.2

abc: 4.7857 4.7857 8.2766
angles: 73.20 73.20 60.00
Atoms (fractional coordinates):
Sc 0.6216 0.6216 0.1353
Sc 0.3784 0.3784 0.8647
Sc 0.1281 0.1281 0.6157
Sc 0.8719 0.8719 0.3843
Cu 0.5000 0.5000 0.5000
Au 0.2514 0.2514 0.2458
Au 0.7486 0.7486 0.7542
Ag 0.0000 0.0000 0.0000



# 4
Density functional theory data (PBE) for a geometry-optimized RePtAu2 structure.

SG: No. 12
Energy of formation from the pure elements (meV/atom): 306
Energy above the most stable polymorph in this dataset (kJ/mol of atoms): 18.0
Total energy (eV per cell): -23.8

abc: 4.9412 4.9412 5.0089
angles: 81.92 81.92 32.77
Atoms (fractional coordinates):
Au 0.5049 0.5049 0.4953
Au 0.9951 0.9951 0.0047
Pt 0.7500 0.7500 0.7500
Re 0.2500 0.2500 0.2500



# 5
Density functional theory data (PBE) for a geometry-optimized LiSiF2 structure.

SG: No. 166
Formation energy (no corrections) (eV per formula unit): -5.9
Energy above the most stable polymorph in this dataset (kJ/mol of atoms): 65.7
Total energy (eV per cell): -17.0

abc: 7.4114 7.4114 7.4114
angles: 22.29 22.29 22.29
Atoms (fractional coordinates):
Li 0.0000 0.0000 0.0000
F 0.9222 0.9222 0.9222
F 0.0778 0.0778 0.0778
Si 0.5000 0.5000 0.5000



# 6
Density functional theory data (PBE) for a geometry-optimized HfTaAs2Br structure.

SG: No. 123
Formation energy (no corrections) (eV per formula unit): 2.8
Energy above the most stable polymorph in this dataset (kJ/mol of atoms): 0.0
Total energy (eV per cell): -30.0

abc: 5.0239 5.0239 4.9377
angles: 90.00 90.00 90.00
Last column: magnetic moment on the atom in μB.
Atoms (fractional coordinates):
Ta 0.0000 0.0000 0.0000  0.08
Br 0.0000 0.0000 0.5000  0.00
As 0.5000 0.0000 0.0000  -0.02
As 0.0000 0.5000 0.0000  -0.02
Hf 0.5000 0.5000 0.5000  0.67